Ba3Nb5O15 | Alexandria | PBE | optimized geometry; VASP energy = -8.431 eV per atom; total moment = 0.00 μB per formula unit
1.0
12.8322 0.0000 0.0000
0.0000 12.8322 0.0000
0.0000 0.0000 4.0390
O Ba Nb
30 6 10
Cartesian
2.0120 6.3260 2.0195
0.0000 6.4161 0.0000
5.4125 3.7434 0.0000
11.9587 11.0363 2.0195
0.0901 4.4041 2.0195
4.4041 12.7421 2.0195
10.1594 11.8286 0.0000
3.7434 7.4197 0.0000
5.5426 8.2119 2.0195
6.5062 2.0120 2.0195
8.4281 0.0901 2.0195
10.0136 3.5975 2.0195
9.0888 5.4125 0.0000
1.0036 10.1594 0.0000
1.7958 11.9587 2.0195
4.6202 5.5426 2.0195
10.8202 6.5062 2.0195
7.2896 4.6202 2.0195
8.2119 7.2896 2.0195
11.8286 2.6727 0.0000
11.0363 0.8735 2.0195
6.3260 10.8202 2.0195
0.8735 1.7958 2.0195
9.2347 10.0136 2.0195
2.8186 9.2347 2.0195
12.7421 8.4281 2.0195
6.4161 0.0000 0.0000
3.5975 2.8186 2.0195
2.6727 1.0036 0.0000
7.4197 9.0888 0.0000
4.2639 10.6799 0.0000
10.6799 8.5683 0.0000
0.0000 0.0000 0.0000
6.4161 6.4161 0.0000
2.1522 4.2639 0.0000
8.5683 2.1522 0.0000
0.0000 6.4161 2.0195
2.7283 0.9937 2.0195
11.8384 2.7283 2.0195
9.1444 5.4223 2.0195
10.1039 11.8384 2.0195
7.4098 9.1444 2.0195
3.6878 7.4098 2.0195
0.9937 10.1039 2.0195
6.4161 0.0000 2.0195
5.4223 3.6878 2.0195



As2OsSe | Alexandria | PBE | optimized geometry; VASP energy = -5.906 eV per atom; total moment = 0.00 μB per formula unit
1.0
-0.5682 -3.6429 -1.2396
4.9581 -0.5494 -0.6583
3.1514 -1.6952 3.5373
Se As Os
1 2 1
Cartesian
5.2902 -3.3643 1.3592
2.3072 -2.5388 0.3003
8.0706 -2.2338 2.8650
4.0375 -1.1175 1.4332



ErIBr2 | Alexandria | PBE | optimized geometry; VASP energy = -4.013 eV per atom; total moment = 0.00 μB per formula unit
1.0
-1.4162 -3.3261 -1.1684
-2.6411 -3.2098 6.1667
-7.3147 0.4973 1.2563
Er I Br
1 1 2
Cartesian
-7.9923 -4.9547 5.2549
-3.2236 -1.2099 1.1639
-6.6233 -2.8951 3.9092
-9.1747 -2.7109 6.4768



MgTl5Pb | Alexandria | PBE | optimized geometry; VASP energy = -2.395 eV per atom; total moment = 0.00 μB per formula unit; E_form = 0.0527 eV/atom
1.0
-3.9105 -7.8942 1.0144
4.9170 2.8143 2.0946
-3.2271 3.0603 11.3760
Mg Tl Pb
2 10 2
Cartesian
-1.6136 1.5302 5.6880
0.0000 0.0000 0.0000
-6.1265 -5.1866 9.4934
-0.4856 -1.4890 5.7768
-3.2073 -4.0727 6.3599
-3.6449 -0.1685 11.7428
-0.1585 3.9588 10.9614
-1.7350 -0.5306 8.7082
-1.0110 0.3527 2.8970
1.4244 -1.8511 2.7421
0.9868 2.0531 8.1251
-2.0620 -5.9784 3.5236
-4.6512 -2.2082 9.1107
-2.4864 -2.6257 3.2797



MgTeSe2 | Alexandria | PBE | optimized geometry; VASP energy = -3.228 eV per atom; total moment = 0.00 μB per formula unit
1.0
3.8914 0.0000 0.0000
0.0000 8.5808 0.0000
0.0000 0.0000 3.8811
Se Mg Te
2 1 1
Cartesian
1.9457 4.2904 0.0000
0.0000 0.0000 0.0000
0.0000 4.2904 1.9406
1.9457 0.0000 1.9406



Na3SrBi2 | Alexandria | PBE | optimized geometry; VASP energy = -2.728 eV per atom; total moment = 0.00 μB per formula unit; E_form = -0.4943 eV/atom
1.0
-0.1163 -0.4592 -4.2448
0.3035 -8.9207 0.9568
-10.3925 -0.3193 0.3194
Bi Na Sr
4 6 2
Cartesian
-3.7738 -6.7834 0.8373
-6.3173 -2.3965 0.4324
-1.2615 -2.4591 -1.8482
-8.9466 -7.1603 -1.1290
-8.6649 -1.6347 -1.7345
-0.5486 -8.4619 0.9305
-9.4217 -4.2695 0.7201
-6.7942 -8.1302 1.0658
-3.2117 -3.5551 0.4726
-1.6147 -5.8831 -1.4681
-4.2975 -0.7829 -1.9463
-6.0308 -5.3012 -1.4100



FeCo5 | Alexandria | PBE | optimized geometry; VASP energy = -7.038 eV per atom; total moment = 11.40 μB per formula unit; E_form = 0.2939 eV/atom
1.0
2.2877 -3.9624 0.0000
2.2877 3.9624 0.0000
0.0000 0.0000 4.0535
Co Fe
5 1
Cartesian
1.1439 1.9812 2.0267
2.2877 1.3208 0.0000
2.2877 -1.3208 0.0000
1.1439 -1.9812 2.0267
2.2877 0.0000 2.0267
0.0000 0.0000 0.0000



USiGe | Alexandria | PBE | optimized geometry; VASP energy = -6.937 eV per atom; total moment = 2.53 μB per formula unit
1.0
4.9639 0.0623 -1.3548
-2.4539 2.5372 0.6702
-2.4308 -0.0634 10.6508
Ge Si U
2 2 2
Cartesian
1.8924 0.0000 6.9434
-1.8132 2.5361 3.0228
-0.5745 -0.0319 7.6748
0.6537 2.5680 2.2914
-1.2269 1.2686 0.3351
-2.4424 1.2369 5.6605



TlCoMoAu | Alexandria | PBE | optimized geometry; VASP energy = -5.427 eV per atom; total moment = 0.00 μB per formula unit; E_form = 0.4678 eV/atom
1.0
6.3483 0.0000 0.0124
0.0000 3.2167 0.0000
-4.3983 0.0000 7.0274
Co Mo Au Tl
2 2 2 2
Cartesian
1.3797 1.6083 6.7892
3.5789 0.0000 3.2755
4.3666 0.0000 0.8222
2.1674 1.6083 4.3359
-0.5949 1.6083 2.5762
-2.7940 0.0000 6.0899
1.9681 1.6083 1.4734
-0.2310 0.0000 4.9871



Nb2CdSbTe | Alexandria | PBE | optimized geometry; VASP energy = -4.504 eV per atom; total moment = 4.76 μB per formula unit
1.0
-1.9444 -0.6169 -4.9075
-2.2041 -4.5594 1.4464
-4.4178 2.5878 1.4251
Sb Nb Cd Te
1 2 1 1
Cartesian
0.0000 0.0000 0.0000
-0.9722 -0.3084 -2.4538
-2.2089 1.2939 0.7126
-1.1021 -2.2797 0.7232
-4.2832 -1.2942 -1.0180



MnRu2Pb | Alexandria | PBE | optimized geometry; VASP energy = -7.438 eV per atom; total moment = 3.39 μB per formula unit; E_form = 0.4197 eV/atom
1.0
-2.9439 -2.5548 0.2131
1.9462 -2.2194 0.2774
1.8276 -1.6103 5.9399
Ru Pb Mn
2 1 1
Cartesian
1.9423 -2.2001 0.4551
-0.5291 -2.2321 1.6866
1.3577 -4.1471 4.7935
1.8919 -1.9397 2.8812



NdSc2Ga | Alexandria | PBE | optimized geometry; VASP energy = -5.359 eV per atom; total moment = 0.45 μB per formula unit; E_form = -0.2448 eV/atom
1.0
-0.8980 0.8425 -4.3836
1.1695 -4.2923 -1.0646
-4.3293 -1.3359 0.6301
Sc Ga Nd
2 1 1
Cartesian
0.5848 -2.1461 -0.5323
-2.1646 -0.6680 0.3151
-0.4490 0.4213 -2.1918
-2.0289 -2.3928 -2.4090



> Number 3 is which compound?

ErIBr2



> Which formula does entry 1 have?

Ba3Nb5O15